A geometry-optimized RbNaCa structure, computed with PBE-GGA.

```
RbNaCa
1.0
-2.1629 -3.3011 -1.3837
1.2110 -2.1962 3.3467
-6.7341 5.5960 3.4960
Na Ca Rb
1 1 1
Cartesian
-3.0940 -1.7148 2.6073
-4.5086 1.7805 2.7999
-0.0834 0.0329 0.0518
```

## Properties
Mass density (g/cm3): 1.6
DOS at the Fermi energy (states/eV per cell): 2.5
ΔE to the lowest computed polymorph (meV per atom): 0
E_form (meV per atom): 139
Space-group type: No. 107
M_tot (μB/cell): 0.000

A geometry-optimized Rb2Na15Ca2 structure, computed with PBE-GGA.

```
Rb2Na15Ca2
1.0
-3.6086 7.8911 3.7736
1.0112 -2.3874 9.0999
8.1790 4.4906 1.5716
Rb Na Ca
2 15 2
Cartesian
1.9211 3.4400 4.9720
3.6604 6.5543 9.4732
-1.8043 3.9455 1.8868
4.0895 2.2453 0.7858
0.5056 -1.1937 4.5500
3.0534 -0.4277 6.9550
-2.2924 4.9625 5.2912
4.8204 5.4595 2.1990
-0.3051 0.5412 7.5823
-0.2501 6.9222 3.1462
6.1367 2.5309 3.7166
5.4628 2.5042 7.4891
-0.5141 4.2284 8.6055
3.1203 7.7159 4.7883
0.1187 7.4901 6.9561
6.0956 5.7659 5.8396
2.4612 2.2784 9.6568
0.5583 0.9998 1.4450
5.0232 8.9945 13.0002
```

## Properties
Mass density (g/cm3): 1.2
DOS at the Fermi energy (states/eV per cell): 7.6
E_form (meV per atom): 39
Space-group type: No. 166
M_tot (μB/cell): 0.000

A geometry-optimized Rb2NaCa2 structure, computed with PBE-GGA.

```
Rb2NaCa2
1.0
-9.3758 7.1524 -2.6016
-7.6075 -8.9300 2.8657
-0.0808 1.3782 4.0802
Na Ca Rb
2 4 4
Cartesian
0.0000 0.0000 0.0000
-8.4917 -0.8888 0.1321
-10.4393 -5.1595 1.5361
-12.9863 0.9298 -0.5712
-6.5440 3.3819 -1.2719
-3.9970 -2.7074 0.8354
-6.9785 -4.1040 3.5217
-12.6622 -1.6966 2.5960
-10.0857 3.7046 0.8226
-4.4020 1.2972 1.7483
```

## Properties
Mass density (g/cm3): 1.4
DOS at the Fermi energy (states/eV per cell): 6.1
ΔE to the lowest computed polymorph (meV per atom): 58
E_form (meV per atom): 311
Space-group type: No. 127
M_tot (μB/cell): 0.000

A geometry-optimized RbNaCa3 structure, computed with PBE-GGA.

```
RbNaCa3
1.0
-0.7709 -6.7047 1.4662
4.3137 0.6742 5.3511
-5.3380 1.5131 4.1125
Na Ca Rb
1 3 1
Cartesian
-0.8976 -2.2587 5.4649
2.1568 0.3371 2.6755
-2.6690 0.7566 2.0563
-0.3854 -3.3523 0.7331
0.0000 0.0000 0.0000
```

## Properties
Mass density (g/cm3): 1.2
DOS at the Fermi energy (states/eV per cell): 6.3
ΔE to the lowest computed polymorph (meV per atom): 510
E_form (meV per atom): 858
Space-group type: No. 221
M_tot (μB/cell): 0.000

A geometry-optimized Rb2NaCa structure, computed with PBE-GGA.

```
Rb2NaCa
1.0
4.2619 0.0000 0.0000
2.1310 3.6910 0.0000
2.1310 1.2303 15.2472
Na Ca Rb
1 1 2
Cartesian
4.2619 2.4606 7.6236
0.0000 0.0000 0.0000
2.1310 1.2303 11.1419
6.3929 3.6910 4.1053
```

## Properties
Mass density (g/cm3): 1.6
DOS at the Fermi energy (states/eV per cell): 4.8
E_form (meV per atom): 214
Space-group type: No. 166
M_tot (μB/cell): 0.000

A geometry-optimized RbNa2Ca2 structure, computed with PBE-GGA.

```
RbNa2Ca2
1.0
-0.4585 8.9631 -6.1571
-10.7564 0.5306 1.5733
0.5890 2.2706 3.2615
Na Ca Rb
4 4 2
Cartesian
-9.1347 3.4452 -0.7487
-7.5363 7.8366 -4.0946
-2.0802 6.0485 -3.8351
-3.6785 1.6571 -0.4893
-6.4910 2.5919 1.8422
-9.3989 7.2056 -0.8446
-4.1349 9.1724 -3.1645
-1.2269 4.5587 -0.4778
0.0000 0.0000 0.0000
-5.6074 4.7468 -2.2919
```

## Properties
Mass density (g/cm3): 1.5
DOS at the Fermi energy (states/eV per cell): 5.7
ΔE to the lowest computed polymorph (meV per atom): 0
E_form (meV per atom): 130
Space-group type: No. 127
M_tot (μB/cell): 0.000

A geometry-optimized RbNaCa3 structure, computed with PBE-GGA.

```
RbNaCa3
1.0
-3.8139 2.6947 4.5093
-5.2181 -1.3010 -3.6359
-0.6056 -5.7608 2.9304
Na Ca Rb
1 3 1
Cartesian
0.0000 0.0000 0.0000
-2.6090 -0.6505 -1.8180
-0.3028 -2.8804 1.4652
-1.9069 1.3473 2.2546
-4.8188 -2.1835 1.9019
```

## Properties
Mass density (g/cm3): 1.4
DOS at the Fermi energy (states/eV per cell): 4.7
ΔE to the lowest computed polymorph (meV per atom): 0
E_form (meV per atom): 347
Space-group type: No. 221
M_tot (μB/cell): 0.000

A geometry-optimized RbNaCa structure, computed with PBE-GGA.

```
RbNaCa
1.0
4.3447 0.0000 0.0000
-2.1724 3.4770 0.0000
0.0000 0.0000 20.5719
Na Ca Rb
2 2 2
Cartesian
2.1724 0.8416 0.0000
0.0000 1.9445 10.2860
2.1724 1.0294 7.3313
2.1724 1.0294 13.2407
0.0000 1.6338 16.9935
0.0000 1.6338 3.5784
```

## Properties
Mass density (g/cm3): 1.6
DOS at the Fermi energy (states/eV per cell): 5.2
ΔE to the lowest computed polymorph (meV per atom): 12
E_form (meV per atom): 151
Space-group type: No. 38
M_tot (μB/cell): 0.000

Repeat the fourth record exactly.
A geometry-optimized RbNaCa3 structure, computed with PBE-GGA.

```
RbNaCa3
1.0
-0.7709 -6.7047 1.4662
4.3137 0.6742 5.3511
-5.3380 1.5131 4.1125
Na Ca Rb
1 3 1
Cartesian
-0.8976 -2.2587 5.4649
2.1568 0.3371 2.6755
-2.6690 0.7566 2.0563
-0.3854 -3.3523 0.7331
0.0000 0.0000 0.0000
```

## Properties
Mass density (g/cm3): 1.2
DOS at the Fermi energy (states/eV per cell): 6.3
ΔE to the lowest computed polymorph (meV per atom): 510
E_form (meV per atom): 858
Space-group type: No. 221
M_tot (μB/cell): 0.000